Record 1
A plane-wave DFT calculation with PBE was carried out for CdInAs2O8 after structural relaxation.

```
12
Lattice="5.9464 0.0267 0.0000 -2.6135 5.3413 0.0000 -1.6665 -2.6840 5.0378" Properties=species:S:1:pos:R:3 pbc="T T T"
In 0.0000 0.0000 0.0000
O 1.5963 -0.4320 1.5840
O 4.3501 0.4586 1.5840
O 3.1848 -1.4183 3.4538
O 3.0454 3.2105 0.8938
O 2.7616 1.4449 3.4538
O 0.1397 -1.4695 4.1440
O -0.1397 1.4695 4.1440
O 0.2875 2.1574 0.8938
As 2.9732 0.0133 2.5189
As 1.6665 2.6840 0.0000
Cd -1.3067 2.6707 2.5189
```

Formation energy (no corrections)   -13.01 eV/f.u.
DOS(E_F)   0.90 states/eV per atom
ρ   5.23 g/cm3



Record 2
A plane-wave DFT calculation with PBE was carried out for PaNbTc2 after structural relaxation.

```
4
Lattice="4.6869 0.0000 0.0000 2.3434 4.0590 0.0000 2.3434 1.3530 3.8268" Properties=species:S:1:pos:R:3 pbc="T T T"
Pa 4.6869 2.7060 1.9134
Tc 7.0303 4.0590 2.8701
Tc 2.3434 1.3530 0.9567
Nb 0.0000 0.0000 0.0000
```

Energy above the most stable polymorph in this dataset   0.039 eV per atom
ΔE_f   -19.0 kJ per mole of atoms
DOS(E_F)   0.85 states/eV per atom
ρ   11.86 g/cm3



Record 3
A plane-wave DFT calculation with PBE was carried out for Rb2PCl5F after structural relaxation.

```
9
Lattice="7.0793 -0.0892 -0.1294 -3.4399 6.1880 0.1294 -3.4399 -2.0826 5.8285" Properties=species:S:1:pos:R:3 pbc="T T T"
Cl -1.6224 0.9682 1.4050
Cl -1.4061 3.0765 4.4647
Cl 1.7349 0.8626 1.2518
Cl -3.3752 -0.2233 4.4647
Cl -3.3752 4.2515 1.3812
Rb 0.1493 -0.0891 4.2961
Rb 0.1493 4.0462 1.4466
P -6.8244 4.0724 5.9100
F -5.6704 3.3838 4.9106
```

Formation energy (no corrections)   -12.74 eV/f.u.
DOS(E_F)   0.47 states/eV per atom
ρ   2.63 g/cm3



Record 4
A plane-wave DFT calculation with PBE was carried out for FeAs2W after structural relaxation.

```
4
Lattice="3.2817 0.0000 0.0000 0.0000 3.2817 0.0000 0.0000 0.0000 5.6904" Properties=species:S:1:pos:R:3 pbc="T T T"
W 1.6408 1.6408 4.3510
As 1.6408 1.6408 1.7774
As 0.0000 0.0000 5.4839
Fe 0.0000 0.0000 2.6138
```

Energy above the most stable polymorph in this dataset   0.024 eV per atom
ΔE_f   9.4 kJ per mole of atoms
DOS(E_F)   0.44 states/eV per atom
ρ   10.55 g/cm3



no.,calculated total energy (eV/cell)
1,-65.6
2,-41.1
3,-31.2
4,-30.3